The following is a PBE-GGA calculation of ZnS2O6 after structural relaxation, from Alexandria.

Summary:
SG   R3 (146)
Crystal system   trigonal
Total moment   0.00 μB per formula unit
Uncorrected energy   -50.0 eV for the cell shown

a b c (Å): 5.152 5.152 6.673
angles (deg): 67.29 67.29 60.00
Element x y z (fractional)
Zn1 0.333 0.333 0.001
S1 0.726 0.726 0.822
S2 0.607 0.607 0.179
O1 0.668 0.514 0.765
O2 0.054 0.668 0.765
O3 0.514 0.054 0.765
O4 0.355 0.514 0.236
O5 0.896 0.355 0.236
O6 0.514 0.896 0.236